[1]
Dy6Th3Sc | PBE | optimized geometry

- ΔE_f: 0.32 eV/atom

Unit cell a=6.8809 b=6.8809 c=6.8809 alpha=90.56 beta=90.56 gamma=90.56
With the nearest neighbours (Å) after each atom.
Fractional positions:
1 Dy 0.0896 0.4214 0.7490  2 Th 3.27-3.44, 1 Sc 3.36
2 Dy 0.2510 0.9104 0.5786  2 Th 3.27-3.44, 1 Sc 3.36
3 Dy 0.4214 0.7490 0.0896  2 Th 3.27-3.44, 1 Sc 3.36
4 Dy 0.5786 0.2510 0.9104  2 Th 3.27-3.44, 1 Sc 3.36
5 Dy 0.7490 0.0896 0.4214  2 Th 3.27-3.44, 1 Sc 3.36
6 Dy 0.9104 0.5786 0.2510  2 Th 3.27-3.44, 1 Sc 3.36
7 Th 0.0000 0.0000 0.0000  2 Th 3.01
8 Th 0.2548 0.2548 0.2548  1 Sc 2.89, 1 Th 3.01
9 Th 0.7452 0.7452 0.7452  1 Sc 2.89, 1 Th 3.01
10 Sc 0.5000 0.5000 0.5000  2 Th 2.89

***

[2]
DyTh2Sc9 | PBE | optimized geometry

- ΔE_f: 0.04 eV/atom

Unit cell a=4.7096 b=4.7096 c=14.2146 alpha=90.00 beta=90.00 gamma=90.00
With the nearest neighbours (Å) after each atom.
Fractional positions:
1 Dy 0.0000 0.0000 0.0000  12 Sc 3.33-3.35
2 Th 0.0000 0.0000 0.3336  12 Sc 3.33-3.34
3 Th 0.0000 0.0000 0.6664  12 Sc 3.33-3.34
4 Sc 0.0000 0.5000 0.1679  8 Sc 3.32-3.35, 2 Th 3.33, 2 Dy 3.35
5 Sc 0.0000 0.5000 0.5000  8 Sc 3.33-3.34, 4 Th 3.34
6 Sc 0.0000 0.5000 0.8321  8 Sc 3.32-3.35, 2 Th 3.33, 2 Dy 3.35
7 Sc 0.5000 0.0000 0.1679  8 Sc 3.32-3.35, 2 Th 3.33, 2 Dy 3.35
8 Sc 0.5000 0.0000 0.5000  8 Sc 3.33-3.34, 4 Th 3.34
9 Sc 0.5000 0.0000 0.8321  8 Sc 3.32-3.35, 2 Th 3.33, 2 Dy 3.35
10 Sc 0.5000 0.5000 0.0000  4 Dy 3.33, 8 Sc 3.35
11 Sc 0.5000 0.5000 0.3331  8 Sc 3.32-3.34, 4 Th 3.33
12 Sc 0.5000 0.5000 0.6669  8 Sc 3.32-3.34, 4 Th 3.33

***

[3]
Dy8Th6Sc | PBE | optimized geometry

- ΔE_f: 0.14 eV/atom

Unit cell a=8.6856 b=8.6856 c=8.6856 alpha=61.00 beta=61.00 gamma=61.00
With the nearest neighbours (Å) after each atom.
Fractional positions:
1 Dy 0.0808 0.0808 0.0808  4 Dy 3.36-3.41, 3 Th 3.40
2 Dy 0.1785 0.3022 0.6193  5 Dy 3.36-3.50, 3 Th 3.41-3.51, 1 Sc 3.46
3 Dy 0.3022 0.6193 0.1785  5 Dy 3.36-3.50, 3 Th 3.41-3.51, 1 Sc 3.46
4 Dy 0.3807 0.8215 0.6978  5 Dy 3.36-3.50, 3 Th 3.41-3.51, 1 Sc 3.46
5 Dy 0.6193 0.1785 0.3022  5 Dy 3.36-3.50, 3 Th 3.41-3.51, 1 Sc 3.46
6 Dy 0.6978 0.3807 0.8215  5 Dy 3.36-3.50, 3 Th 3.41-3.51, 1 Sc 3.46
7 Dy 0.8215 0.6978 0.3807  5 Dy 3.36-3.50, 3 Th 3.41-3.51, 1 Sc 3.46
8 Dy 0.9192 0.9192 0.9192  4 Dy 3.36-3.41, 3 Th 3.40
9 Th 0.0394 0.7574 0.5761  5 Dy 3.40-3.78, 1 Sc 3.41, 5 Th 3.56-3.75
10 Th 0.2426 0.4239 0.9606  5 Dy 3.40-3.78, 1 Sc 3.41, 5 Th 3.56-3.75
11 Th 0.4239 0.9606 0.2426  5 Dy 3.40-3.78, 1 Sc 3.41, 5 Th 3.56-3.75
12 Th 0.5761 0.0394 0.7574  5 Dy 3.40-3.78, 1 Sc 3.41, 5 Th 3.56-3.75
13 Th 0.7574 0.5761 0.0394  5 Dy 3.40-3.78, 1 Sc 3.41, 5 Th 3.56-3.75
14 Th 0.9606 0.2426 0.4239  5 Dy 3.40-3.78, 1 Sc 3.41, 5 Th 3.56-3.75
15 Sc 0.5000 0.5000 0.5000  6 Th 3.41, 6 Dy 3.46

***

Number 1: N(E_F) 19.88 states/eV/f.u., magnetic moment 0.00 μB per cell. Number 2: N(E_F) 22.33 states/eV/f.u., magnetic moment 0.00 μB per cell. Number 3: N(E_F) 26.49 states/eV/f.u., magnetic moment 0.00 μB per cell.